Material: SrGd2Th
Method: DFT, PBE-GGA
State: optimized geometry

Cell lengths 3.684, 3.684, 10.778 Å; angles 90.00, 90.00, 90.00 degrees
Positions (direct):
Sr 0.000 0.000 0.000
Gd 0.500 0.500 0.284
Gd 0.500 0.500 0.716
Th 0.000 0.000 0.500

Values from the calculation:
energy above the lowest structure with this stoichiometry	0.000	eV per atom
ΔH_f (0 K)	84.4	meV per atom
total energy	-9.2315	eV/atom